Material: HfMgAlFe
Method: DFT, PBE
State: relaxed

Cell lengths 4.481, 4.481, 4.481 Å; angles 60.00, 60.00, 60.00 degrees
Positions (direct):
Hf1 0.000 0.000 0.000
Mg1 0.250 0.250 0.250
Al1 0.500 0.500 0.500
Fe1 0.750 0.750 0.750

Energy above the most stable polymorph in this dataset in meV per atom: 0
SG: F-43m (216)
Crystal system: cubic


Material: HfMgAlFe
Method: DFT, PBE
State: relaxed

Cell lengths 4.546, 4.546, 4.546 Å; angles 60.00, 60.00, 60.00 degrees
Positions (direct):
Hf1 0.000 0.000 0.000
Mg1 0.750 0.750 0.750
Al1 0.250 0.250 0.250
Fe1 0.500 0.500 0.500

Energy above the most stable polymorph in this dataset in meV per atom: 197
SG: F-43m (216)
Crystal system: cubic